<one>
Below is a relaxed structure of Tb3NdOs, with properties calculated at the PBE level.

The structure in POSCAR format:
```
Tb3NdOs
1.0
5.470 0.000 0.000
0.000 5.470 0.000
0.000 0.000 5.470
Tb Os Nd
3 1 1
Cartesian
0.000 2.735 0.000
0.000 0.000 2.735
2.735 0.000 0.000
0.000 0.000 0.000
2.735 2.735 2.735
```

Properties
Magnetization (Bohr magnetons per cell): 0.43
N(E_F) (states/eV/cell): 7.58
Calculated volume (A^3/atom): 32.727

---

<two>
Below is a relaxed structure of Tb3NdOs, with properties calculated at the PBE level.

The structure in POSCAR format:
```
Tb3NdOs
1.0
0.136 5.621 -1.111
-5.581 -4.818 -1.071
-3.052 1.703 8.245
Tb Nd Os
6 2 2
Cartesian
-1.173 4.634 -1.041
-7.325 -2.128 7.104
-2.479 5.363 2.487
-6.019 -2.857 3.576
-3.612 3.367 5.262
-4.886 -0.861 0.801
-5.835 0.379 5.056
-2.662 2.127 1.007
-2.614 6.437 4.997
-5.883 -3.931 1.066
```

Properties
Magnetization (Bohr magnetons per cell): 0.00
N(E_F) (states/eV/cell): 9.60
Calculated volume (A^3/atom): 29.877

---

Which is most stable? The ranking, best first, is <two>, <one>.

---

<one>
Below is a relaxed structure of Nd2ThOs, with properties calculated at the PBE level.

The structure in POSCAR format:
```
Nd2ThOs
1.0
3.974 0.000 0.000
-1.984 6.206 0.000
0.000 0.000 9.719
Nd Th Os
4 2 2
Cartesian
0.002 4.421 5.537
1.988 1.785 4.182
0.002 4.421 9.041
1.988 1.785 0.678
1.989 5.152 2.430
0.000 1.054 7.289
1.990 2.926 7.289
-0.001 3.280 2.430
```

Properties
Magnetization (Bohr magnetons per cell): 0.00
N(E_F) (states/eV/cell): 10.51
Calculated volume (A^3/atom): 29.958

---

<two>
Below is a relaxed structure of Nd2ThOs, with properties calculated at the PBE level.

The structure in POSCAR format:
```
Nd2ThOs
1.0
6.572 0.000 0.000
0.000 7.366 0.000
0.000 0.000 9.904
Nd Th Os
8 4 4
Cartesian
1.135 4.958 0.663
2.151 1.275 4.289
5.437 2.408 5.615
4.421 6.091 9.241
5.437 2.408 9.241
4.421 6.091 5.615
1.135 4.958 4.289
2.151 1.275 0.663
4.358 4.055 2.476
5.500 0.372 2.476
2.214 3.311 7.428
1.072 6.994 7.428
0.184 2.738 2.476
3.102 6.421 2.476
6.388 4.628 7.428
3.470 0.945 7.428
```

Properties
Magnetization (Bohr magnetons per cell): 0.00
N(E_F) (states/eV/cell): 19.55
Calculated volume (A^3/atom): 29.964

---

Which is most stable? The ranking, best first, is <two>, <one>.